Density functional theory data (PBE) for a relaxed structure of PrSm6DyTm2.

**Total moment**: 0.00 μB/cell
**Formation energy from the elements**: 120 meV per atom

The structure in POSCAR format:
```
PrSm6DyTm2
1.0
0.1988 4.5828 -8.5036
5.7699 -6.2403 -2.5234
-8.6254 -1.9723 -0.5599
Pr Sm Dy Tm
2 12 2 4
direct
0.2500 0.4060 0.5940
0.7500 0.5940 0.4060
0.0551 0.1121 0.7584
0.4449 0.2416 0.8879
0.9449 0.8879 0.2416
0.5551 0.7584 0.1121
0.3182 0.9808 0.4341
0.1818 0.5659 0.0192
0.6818 0.0192 0.5659
0.8182 0.4341 0.9808
0.1202 0.7055 0.4903
0.3798 0.5097 0.2945
0.8798 0.2945 0.5097
0.6202 0.4903 0.7055
0.2500 0.9704 0.0296
0.7500 0.0296 0.9704
0.4536 0.8040 0.7061
0.0464 0.2939 0.1960
0.5464 0.1960 0.2939
0.9536 0.7061 0.8040
```